# 1
# TbTmGaRh PBE relaxed
data_TbTmGaRh
_cell_length_a 6.9857
_cell_length_b 6.9857
_cell_length_c 6.9857
_cell_angle_alpha 90.00
_cell_angle_beta 90.00
_cell_angle_gamma 90.00
_space_group_name_H-M_alt 'F -4 3 m'
_space_group_IT_number 216
_space_group_name_Hall 'F -4 2 3'
loop_
_atom_site_label
_atom_site_type_symbol
_atom_site_fract_x
_atom_site_fract_y
_atom_site_fract_z
Tb1 Tb 0.0000 0.0000 0.0000
Tm1 Tm 0.0000 0.0000 0.5000
Ga1 Ga 0.2500 0.2500 0.2500
Rh1 Rh 0.2500 0.2500 0.7500
# E_form = -67.2 kJ/mol of atoms
# ΔE to the lowest computed polymorph = 0.047 eV per atom
# Volume = 340.91 Å³/cell

# 2
# RbCd2O2 PBE relaxed
data_RbCd2O2
_cell_length_a 8.2740
_cell_length_b 8.2740
_cell_length_c 3.7275
_cell_angle_alpha 90.00
_cell_angle_beta 90.00
_cell_angle_gamma 90.00
_space_group_name_H-M_alt 'P 4/m b m'
_space_group_IT_number 127
_space_group_name_Hall '-P 4 2ab'
loop_
_atom_site_label
_atom_site_type_symbol
_atom_site_fract_x
_atom_site_fract_y
_atom_site_fract_z
Rb1 Rb 0.0000 0.0000 0.0000
Cd1 Cd 0.1202 0.3798 0.5000
O1 O 0.2077 0.2923 0.0000
# ΔE to the lowest computed polymorph = 0.231 eV per atom
# Volume = 255.18 Å³/cell

# 3
# TbDy3Ru2 PBE relaxed
data_TbDy3Ru2
_cell_length_a 4.3796
_cell_length_b 8.8196
_cell_length_c 7.4617
_cell_angle_alpha 90.00
_cell_angle_beta 90.00
_cell_angle_gamma 90.00
_space_group_name_H-M_alt 'P m c 21'
_space_group_IT_number 26
loop_
_space_group_symop_operation_xyz
'x,y,z'
'-x,-y,z+1/2'
'-x,y,z'
'x,-y,z+1/2'
loop_
_atom_site_label
_atom_site_type_symbol
_atom_site_fract_x
_atom_site_fract_y
_atom_site_fract_z
Tb1 Tb 0.0000 0.0846 0.0000
Dy1 Dy 0.0000 0.3219 0.6290
Dy2 Dy 0.5000 0.1793 0.3345
Dy3 Dy 0.5000 0.4154 0.9632
Ru1 Ru 0.0000 0.3594 0.2333
Ru2 Ru 0.5000 0.1415 0.7301
# E_form = -32.4 kJ/mol of atoms
# ΔE to the lowest computed polymorph = 0.000 eV per atom
# Volume = 288.22 Å³/cell